The following is a GGA+U calculation of a relaxed structure of DyCr4Cu3O12, from Alexandria.

Calculated values
Total magnetization ... 12.0 μB/f.u.
SG ... Im-3
Uncorrected energy ... -0.510 Ry/atom

POSCAR file:
```
DyCr4Cu3O12
1.0
-2.050 0.308 -6.059
5.897 -2.494 0.134
-3.961 -3.702 3.408
Dy Cr Cu O
1 4 3 12
direct
0.000 0.000 0.000
0.500 0.000 0.000
0.500 0.500 0.500
0.000 0.500 0.000
0.000 0.000 0.500
0.000 0.500 0.500
0.500 0.500 0.000
0.500 0.000 0.500
0.306 0.834 0.140
0.694 0.166 0.860
0.694 0.834 0.528
0.860 0.694 0.166
0.834 0.140 0.306
0.166 0.472 0.306
0.472 0.306 0.166
0.166 0.860 0.694
0.306 0.166 0.472
0.140 0.306 0.834
0.834 0.528 0.694
0.528 0.694 0.834
```